# 1
Computed, not measured: RbNa2Ce after structural relaxation at the GGA-PBE level of DFT.

a b c (Å): 3.6740 3.6740 43.7097
angles (deg): 90.00 90.00 120.00
Space group R-3m (No. 166, hexagonal axes)
Asymmetric unit:
Rb (0.0000, 0.0000, 0.0000) x3
Na (0.0000, 0.0000, 0.4198) x6
Ce (0.0000, 0.0000, 0.5000) x3

Output
Crystal system   trigonal
Total DFT energy (no corrections)   -1.9556 eV per atom
Formation energy   0.429 eV per atom

# 2
Computed, not measured: Rb2NaCe2S6 after structural relaxation at the GGA-PBE level of DFT.

a b c (Å): 7.107 12.637 8.050
angles (deg): 90.00 105.50 90.00
Space group C2/m (No. 12)
Asymmetric unit:
Rb (0.000, 0.157, 0.000) x4
Na (0.000, 0.000, 0.500) x2
Ce (0.000, 0.337, 0.500) x4
S (0.200, 0.500, 0.691) x4
S (0.237, 0.185, 0.688) x8

Output
Crystal system   monoclinic
Total DFT energy (no corrections)   -5.0405 eV per atom
Uncorrected formation energy   -1414 meV/atom

# 3
Computed, not measured: Rb3NaCe3S8 after structural relaxation at the GGA-PBE level of DFT.

a b c (Å): 8.2981 8.2981 22.9037
angles (deg): 90.00 90.00 120.00
Space group R-3m (No. 166, hexagonal axes)
Asymmetric unit:
Rb (0.0000, 0.5000, 0.0000) x9
Na (0.0000, 0.0000, 0.5000) x3
Ce (0.0000, 0.5000, 0.5000) x9
S (0.0000, 0.0000, 0.2316) x6
S (0.0229, 0.5114, 0.7714) x18

Output
Crystal system   trigonal
Total DFT energy (no corrections)   -5.2519 eV per atom
Uncorrected formation energy   -1582 meV/atom

# 4
Computed, not measured: RbNaCeS3 after structural relaxation at the GGA-PBE level of DFT.

a b c (Å): 8.287 4.156 10.122
angles (deg): 90.00 92.22 90.00
Space group P2_1/m (No. 11)
Asymmetric unit:
Rb (0.064, 0.250, 0.321) x2
Na (0.306, 0.750, 0.984) x2
Ce (0.435, 0.250, 0.676) x2
S (0.185, 0.250, 0.821) x2
S (0.316, 0.750, 0.512) x2
S (0.418, 0.250, 0.186) x2

Output
Crystal system   monoclinic
Total DFT energy (no corrections)   -4.9511 eV per atom
Uncorrected formation energy   -1517 meV/atom